# HfSnI3 PBE optimized geometry
data_HfSnI3
_chemical_formula_sum 'Hf1 Sn1 I3'
_space_group_name_H-M_alt 'P m -3 m'
_space_group_IT_number 221
_space_group_name_Hall '-P 4 2 3'
_cell_length_a 5.686
_cell_length_b 5.686
_cell_length_c 5.686
_cell_angle_alpha 90.00
_cell_angle_beta 90.00
_cell_angle_gamma 90.00
loop_
_atom_site_label
_atom_site_type_symbol
_atom_site_fract_x
_atom_site_fract_y
_atom_site_fract_z
_atom_site_occupancy
Hf1 Hf 0.000 0.000 0.000 1
Sn1 Sn 0.500 0.500 0.500 1
I1 I 0.000 0.000 0.500 1
# **Formation energy (no corrections)**: 5.9 kJ/mol of atoms
# **Excess energy over the best structure of this formula in the dataset**: 0.000 eV per atom